# 1
DFT (PBE) results for a relaxed structure of NbV2Ni2.

As for the distance to the lowest polymorph of the same formula: 141.2 meV per atom.

Cell lengths 3.544, 3.544, 11.084 Å; angles 90.00, 90.00, 90.00 degrees
Sites, in units of the cell vectors:
Nb  0.000  0.000  0.000
Nb  0.500  0.500  0.500
V  0.000  0.500  0.250
V  0.000  0.500  0.750
V  0.500  0.000  0.250
V  0.500  0.000  0.750
Ni  0.000  0.000  0.400
Ni  0.000  0.000  0.600
Ni  0.500  0.500  0.100
Ni  0.500  0.500  0.900

***

# 2
DFT (PBE) results for a relaxed structure of Nb6VNi.

Cell lengths 4.583, 4.583, 12.860 Å; angles 90.00, 90.00, 90.00 degrees
Sites, in units of the cell vectors:
Nb  0.000  0.000  0.245
Nb  0.000  0.000  0.755
Nb  0.000  0.500  0.120
Nb  0.000  0.500  0.380
Nb  0.000  0.500  0.620
Nb  0.000  0.500  0.880
Nb  0.500  0.000  0.120
Nb  0.500  0.000  0.380
Nb  0.500  0.000  0.620
Nb  0.500  0.000  0.880
Nb  0.500  0.500  0.255
Nb  0.500  0.500  0.745
V  0.000  0.000  0.000
V  0.500  0.500  0.500
Ni  0.000  0.000  0.500
Ni  0.500  0.500  0.000

***

# 3
DFT (PBE) results for a relaxed structure of NbV3Ni7.

Cell lengths 5.909, 5.909, 4.593 Å; angles 106.81, 106.81, 95.04 degrees
Sites, in units of the cell vectors:
Nb  0.000  0.000  0.000
V  0.269  0.731  0.500
V  0.500  0.500  0.000
V  0.731  0.269  0.500
Ni  0.000  0.000  0.500
Ni  0.096  0.550  0.815
Ni  0.324  0.324  0.422
Ni  0.450  0.904  0.185
Ni  0.550  0.096  0.815
Ni  0.676  0.676  0.578
Ni  0.904  0.450  0.185

***

# 4
DFT (PBE) results for a relaxed structure of NbVNi4.

As for the distance to the lowest polymorph of the same formula: 133.9 meV per atom.

Cell lengths 7.070, 2.583, 16.488 Å; angles 90.00, 90.00, 90.00 degrees
Sites, in units of the cell vectors:
Nb  0.246  0.250  0.188
Nb  0.254  0.750  0.688
Nb  0.746  0.250  0.312
Nb  0.754  0.750  0.812
V  0.248  0.250  0.942
V  0.252  0.750  0.442
V  0.748  0.250  0.558
V  0.752  0.750  0.058
Ni  0.058  0.750  0.562
Ni  0.077  0.750  0.311
Ni  0.097  0.750  0.058
Ni  0.104  0.750  0.828
Ni  0.396  0.250  0.328
Ni  0.403  0.250  0.558
Ni  0.423  0.250  0.811
Ni  0.442  0.250  0.062
Ni  0.558  0.750  0.938
Ni  0.577  0.750  0.189
Ni  0.597  0.750  0.442
Ni  0.604  0.750  0.672
Ni  0.896  0.250  0.172
Ni  0.903  0.250  0.942
Ni  0.923  0.250  0.689
Ni  0.942  0.250  0.438

***

# 5
DFT (PBE) results for a relaxed structure of Nb12V3Ni5.

Cell lengths 12.649, 12.649, 12.649 Å; angles 109.47, 109.47, 109.47 degrees
Sites, in units of the cell vectors:
Nb  0.057  0.227  0.134
Nb  0.057  0.330  0.923
Nb  0.077  0.634  0.407
Nb  0.077  0.943  0.670
Nb  0.093  0.727  0.670
Nb  0.093  0.866  0.423
Nb  0.134  0.057  0.227
Nb  0.134  0.577  0.907
Nb  0.170  0.227  0.593
Nb  0.170  0.443  0.577
Nb  0.227  0.134  0.057
Nb  0.227  0.593  0.170
Nb  0.273  0.330  0.907
Nb  0.273  0.443  0.366
Nb  0.330  0.907  0.273
Nb  0.330  0.923  0.057
Nb  0.366  0.273  0.443
Nb  0.366  0.593  0.923
Nb  0.407  0.077  0.634
Nb  0.407  0.830  0.773
Nb  0.423  0.093  0.866
Nb  0.423  0.830  0.557
Nb  0.443  0.366  0.273
Nb  0.443  0.577  0.170
Nb  0.557  0.423  0.830
Nb  0.557  0.634  0.727
Nb  0.577  0.170  0.443
Nb  0.577  0.907  0.134
Nb  0.593  0.170  0.227
Nb  0.593  0.923  0.366
Nb  0.634  0.407  0.077
Nb  0.634  0.727  0.557
Nb  0.670  0.077  0.943
Nb  0.670  0.093  0.727
Nb  0.727  0.557  0.634
Nb  0.727  0.670  0.093
Nb  0.773  0.407  0.830
Nb  0.773  0.866  0.943
Nb  0.830  0.557  0.423
Nb  0.830  0.773  0.407
Nb  0.866  0.423  0.093
Nb  0.866  0.943  0.773
Nb  0.907  0.134  0.577
Nb  0.907  0.273  0.330
Nb  0.923  0.057  0.330
Nb  0.923  0.366  0.593
Nb  0.943  0.670  0.077
Nb  0.943  0.773  0.866
V  0.125  0.250  0.375
V  0.125  0.375  0.750
V  0.250  0.375  0.125
V  0.250  0.875  0.625
V  0.375  0.125  0.250
V  0.375  0.750  0.125
V  0.625  0.250  0.875
V  0.625  0.875  0.750
V  0.750  0.125  0.375
V  0.750  0.625  0.875
V  0.875  0.625  0.250
V  0.875  0.750  0.625
Ni  0.000  0.000  0.000
Ni  0.000  0.000  0.500
Ni  0.000  0.500  0.000
Ni  0.000  0.500  0.500
Ni  0.125  0.750  0.875
Ni  0.125  0.875  0.250
Ni  0.250  0.125  0.875
Ni  0.250  0.625  0.375
Ni  0.375  0.250  0.625
Ni  0.375  0.625  0.750
Ni  0.500  0.000  0.000
Ni  0.500  0.000  0.500
Ni  0.500  0.500  0.000
Ni  0.500  0.500  0.500
Ni  0.625  0.375  0.250
Ni  0.625  0.750  0.375
Ni  0.750  0.375  0.625
Ni  0.750  0.875  0.125
Ni  0.875  0.125  0.750
Ni  0.875  0.250  0.125

***

# 6
DFT (PBE) results for a relaxed structure of NbVNi2.

As for the distance to the lowest polymorph of the same formula: 391.5 meV per atom.

Cell lengths 6.699, 6.699, 5.018 Å; angles 90.00, 90.00, 90.00 degrees
Sites, in units of the cell vectors:
Nb  0.000  0.000  0.000
Nb  0.000  0.500  0.250
Nb  0.500  0.000  0.750
Nb  0.500  0.500  0.500
V  0.000  0.000  0.500
V  0.000  0.500  0.750
V  0.500  0.000  0.250
V  0.500  0.500  0.000
Ni  0.227  0.750  0.625
Ni  0.250  0.227  0.375
Ni  0.250  0.273  0.875
Ni  0.273  0.750  0.125
Ni  0.727  0.250  0.125
Ni  0.750  0.727  0.875
Ni  0.750  0.773  0.375
Ni  0.773  0.250  0.625

***

# 7
DFT (PBE) results for a relaxed structure of NbVNi.

As for the distance to the lowest polymorph of the same formula: 0.0 meV per atom.

Cell lengths 8.115, 4.913, 4.913 Å; angles 60.03, 90.00, 90.00 degrees
Sites, in units of the cell vectors:
Nb  0.184  0.000  0.000
Nb  0.305  0.334  0.334
Nb  0.695  0.334  0.334
Nb  0.816  0.000  0.000
V  0.000  0.518  0.518
V  0.500  0.335  0.842
V  0.500  0.842  0.335
V  0.500  0.846  0.846
Ni  0.000  0.025  0.515
Ni  0.000  0.515  0.025
Ni  0.245  0.675  0.675
Ni  0.755  0.675  0.675

***

# 8
DFT (PBE) results for a relaxed structure of NbV2Ni8.

Cell lengths 7.068, 7.068, 7.068 Å; angles 144.08, 139.36, 55.34 degrees
Sites, in units of the cell vectors:
Nb  0.000  0.000  0.000
V  0.321  0.821  0.500
V  0.679  0.179  0.500
Ni  0.099  0.363  0.736
Ni  0.200  0.200  0.000
Ni  0.373  0.637  0.736
Ni  0.500  0.249  0.749
Ni  0.500  0.751  0.251
Ni  0.627  0.363  0.264
Ni  0.800  0.800  0.000
Ni  0.901  0.637  0.264

***

Calculated formation enthalpy at 0 K (eV per atom), listed in the same order as above: 0.084 -0.003 0.155 -0.097 0.757 0.240 -0.184 -0.084